V2PbWO8 | Alexandria via LeMat-Bulk | PBE+U | optimized geometry; raw total energy = -86.62 eV/f.u.; volume = 16.04 Å³ per atom; spin magnetization = 2.0 μB/f.u.
1.0
5.685 0.000 0.000
-2.842 4.923 0.000
0.000 0.000 6.880
V Pb W O
2 1 1 8
Cartesian
0.000 3.282 1.632 V
2.842 1.641 5.248 V
0.000 0.000 0.000 Pb
0.000 0.000 3.440 W
0.000 1.593 2.198 O
-1.463 4.127 2.198 O
1.379 0.796 4.682 O
0.000 3.282 6.841 O
2.842 1.641 0.039 O
1.463 4.127 2.198 O
4.305 0.796 4.682 O
2.842 3.330 4.682 O